Material: NaCrHF2
Method: DFT, PBE+U
State: relaxed

Results
As for the space group: P4/mmm, No. 123. The total energy comes out at -24.25 eV/cell. The density comes out at 2.89 g cm⁻³. The calculation puts the total magnetic moment at 4.00 μB/cell.

Geometry as extended XYZ:
```
5
Lattice="-3.990 1.087 0.506 -1.155 -3.956 -0.610 0.292 -0.657 3.709" Properties=species:S:1:pos:R:3 pbc="T T T"
H 0.146 -0.329 1.854
Cr 0.000 0.000 0.000
F -0.577 -1.978 -0.305
F -1.995 0.543 0.253
Na -2.427 -1.763 1.803
```